16
Lattice="6.5533 0.0000 0.0000 0.0000 13.1372 0.0000 0.0000 0.0000 3.2510" Properties=species:S:1:pos:R:3 comment="GGA-PBE Ta5Nb2Cr, optimized geometry" dos_at_fermi_per_ev_cell=23.807 e_form_ev_per_atom=0.03 spacegroup="No. 55" pbc="T T T"
Ta 0.0000 0.0000 0.0000
Ta 0.0726 3.2470 0.0000
Ta 1.5055 8.1286 1.6255
Ta 1.7712 1.5600 1.6255
Ta 3.2040 9.8156 0.0000
Ta 3.2766 6.5686 0.0000
Ta 3.3492 3.3216 0.0000
Ta 4.7821 11.5772 1.6255
Ta 5.0478 5.0086 1.6255
Ta 6.4807 9.8902 0.0000
Nb 1.6226 4.9683 1.6255
Nb 1.6540 11.5369 1.6255
Nb 4.8992 1.6003 1.6255
Nb 4.9307 8.1689 1.6255
Cr 0.0000 6.5686 0.0000
Cr 3.2766 0.0000 0.0000

=====

8
Lattice="-3.5951 3.5951 2.7455 3.5951 -3.5951 2.7455 3.5951 3.5951 -2.7455" Properties=species:S:1:pos:R:3 comment="GGA-PBE Ta2NbCr, optimized geometry" dos_at_fermi_per_ev_cell=8.260 e_form_ev_per_atom=0.66 spacegroup="No. 122" pbc="T T T"
Ta 5.3927 1.5849 -0.6864
Ta 1.5849 1.7976 0.6864
Ta -1.7976 2.0102 2.0591
Ta 2.0102 1.7976 3.4319
Nb 3.5951 0.0000 1.3728
Nb 0.0000 0.0000 2.7455
Cr 0.0000 0.0000 0.0000
Cr 0.0000 3.5951 1.3728

=====

5
Lattice="4.6013 0.0000 0.0000 0.0000 4.6013 0.0000 0.0000 0.0000 4.6013" Properties=species:S:1:pos:R:3 comment="GGA-PBE Ta3NbCr, optimized geometry" dos_at_fermi_per_ev_cell=3.932 de_polymorph_kj_per_mol_atoms=0.00 e_form_ev_per_atom=0.96 spacegroup="No. 221" pbc="T T T"
Ta 0.0000 0.0000 2.3007
Ta 0.0000 2.3007 0.0000
Ta 2.3007 0.0000 0.0000
Nb 2.3007 2.3007 2.3007
Cr 0.0000 0.0000 0.0000

=====

8
Lattice="3.2465 0.0000 0.0000 0.0000 3.2465 0.0000 0.0000 0.0000 13.2456" Properties=species:S:1:pos:R:3 comment="GGA-PBE Ta4Nb3Cr, optimized geometry" dos_at_fermi_per_ev_cell=11.531 e_form_ev_per_atom=0.01 spacegroup="No. 123" pbc="T T T"
Ta 0.0000 0.0000 1.4976
Ta 0.0000 0.0000 4.9101
Ta 0.0000 0.0000 8.3355
Ta 0.0000 0.0000 11.7480
Nb 1.6232 1.6232 3.2233
Nb 1.6232 1.6232 6.6228
Nb 1.6232 1.6232 10.0223
Cr 1.6232 1.6232 0.0000

=====

10
Lattice="7.0471 0.0000 0.0000 0.0000 7.0471 0.0000 0.0000 0.0000 3.2595" Properties=species:S:1:pos:R:3 comment="GGA-PBE Ta2NbCr2, optimized geometry" dos_at_fermi_per_ev_cell=10.217 e_form_ev_per_atom=0.33 spacegroup="No. 127" pbc="T T T"
Ta 1.1209 2.4027 0.0000
Ta 2.4027 5.9262 0.0000
Ta 4.6444 1.1209 0.0000
Ta 5.9262 4.6444 0.0000
Nb 0.0000 0.0000 1.6297
Nb 3.5235 3.5235 1.6297
Cr 0.9792 4.5028 1.6297
Cr 2.5443 0.9792 1.6297
Cr 4.5028 6.0679 1.6297
Cr 6.0679 2.5443 1.6297

=====

5
Lattice="4.8609 0.0000 0.0000 0.0000 4.8609 0.0000 0.0000 0.0000 4.8609" Properties=species:S:1:pos:R:3 comment="GGA-PBE Ta3NbCr, optimized geometry" dos_at_fermi_per_ev_cell=4.969 de_polymorph_kj_per_mol_atoms=82.34 e_form_ev_per_atom=1.81 spacegroup="No. 221" pbc="T T T"
Ta 0.0000 0.0000 2.4304
Ta 0.0000 2.4304 0.0000
Ta 2.4304 0.0000 0.0000
Nb 0.0000 0.0000 0.0000
Cr 2.4304 2.4304 2.4304

=====

Going through the records in order, we get calculated volume values of 279.9, 141.9, 97.4, 139.6, 161.9, 114.9 Å³/cell.
Going through the records in order, we get uncorrected energy values of -88.80, -40.75, -50.45, -87.17, -51.38, -46.19 eV/f.u..